Below is crystalline Zn2Te2O at its relaxed geometry, with properties calculated at the PBE-GGA level.

Results
SG = No. 127
Energy relative to the elements, uncorrected = -0.26 eV/atom
E above lowest polymorph = 0 meV per atom
Calculated volume = 211.4 Å³ per cell

extended XYZ file:
```
10
Lattice="-6.016 0.688 -0.117 -0.453 -3.080 5.195 0.505 4.918 2.960" Properties=species:S:1:pos:R:3 pbc="T T T"
Zn -1.840 -2.137 3.864
Zn -4.848 -1.797 3.812
Zn -4.629 -0.256 1.215
Zn -1.621 -0.596 1.266
Te -1.587 0.322 5.344
Te -4.596 0.663 5.292
Te -4.377 2.204 2.694
Te -1.368 1.863 2.747
O 0.000 0.000 0.000
O -3.235 -1.196 2.539
```